Density functional theory data (PBE-GGA) for a relaxed TlCd2Tc crystal.

Calculated values
- Energy of formation from the pure elements: 48 kJ per mole of atoms
- ρ: 10.589 g/cm3
- E_tot: -3.1386 eV per atom
- Excess energy over the best structure of this formula in the dataset: 0.471 eV per formula unit
- Spin magnetization: 1.61 μB per cell
- DOS at the Fermi energy: 2.9 states/eV/cell

Unit cell a=3.2232 b=4.2604 c=6.0208 alpha=90.00 beta=90.00 gamma=90.00
Last column: nearest neighbours and their distance in Å.
Positions (direct):
1 Tl 0.0000 0.0000 0.0000  2 Tc 3.01, 8 Cd 3.14, 2 Tl 3.22
2 Cd 0.5000 0.5000 0.2730  1 Cd 2.73, 4 Tc 3.00
3 Cd 0.5000 0.5000 0.7270  1 Cd 2.73, 4 Tc 3.00
4 Tc 0.0000 0.0000 0.5000  8 Cd 3.00, 2 Tl 3.01, 2 Tc 3.22

***

Density functional theory data (PBE-GGA) for a relaxed TlCd2Tc crystal.

Calculated values
- Energy of formation from the pure elements: 37 kJ per mole of atoms
- ρ: 9.693 g/cm3
- E_tot: -3.2563 eV per atom
- Excess energy over the best structure of this formula in the dataset: 0.000 eV per formula unit
- Spin magnetization: 0.03 μB per cell
- DOS at the Fermi energy: 2.5 states/eV/cell

Unit cell a=7.0171 b=7.0171 c=7.0171 alpha=155.69 beta=140.43 gamma=46.98
Last column: nearest neighbours and their distance in Å.
Positions (direct):
1 Tl 0.0000 0.0000 0.0000  4 Tc 2.80, 2 Tl 2.95
2 Cd 0.3094 0.8094 0.5000  2 Tc 2.86, 6 Cd 2.95-3.19
3 Cd 0.6906 0.1906 0.5000  2 Tc 2.86, 6 Cd 2.95-3.19
4 Tc 0.5000 0.5000 0.0000  4 Tl 2.80, 4 Cd 2.86, 2 Tc 2.95

***

Density functional theory data (PBE-GGA) for a relaxed TlCdTc2 crystal.

Calculated values
- Energy of formation from the pure elements: 67 kJ per mole of atoms
- ρ: 12.038 g/cm3
- E_tot: -5.3093 eV per atom
- Excess energy over the best structure of this formula in the dataset: 1.817 eV per formula unit
- Spin magnetization: 0.00 μB per cell
- DOS at the Fermi energy: 3.4 states/eV/cell

Unit cell a=4.8855 b=4.8855 c=4.8855 alpha=127.76 beta=127.76 gamma=77.01
Last column: nearest neighbours and their distance in Å.
Positions (direct):
1 Tl 0.0000 0.0000 0.0000  4 Cd 2.88, 8 Tc 2.88-3.04
2 Cd 0.2500 0.7500 0.5000  8 Tc 2.88-3.04, 4 Tl 2.88
3 Tc 0.5000 0.5000 0.0000  4 Cd 2.88, 4 Tc 2.88, 4 Tl 3.04
4 Tc 0.7500 0.2500 0.5000  4 Tc 2.88, 4 Tl 2.88, 4 Cd 3.04

***

Density functional theory data (PBE-GGA) for a relaxed TlCd2Tc crystal.

Calculated values
- Energy of formation from the pure elements: 46 kJ per mole of atoms
- ρ: 10.951 g/cm3
- E_tot: -3.1674 eV per atom
- Excess energy over the best structure of this formula in the dataset: 0.355 eV per formula unit
- Spin magnetization: 1.64 μB per cell
- DOS at the Fermi energy: 1.9 states/eV/cell

Unit cell a=4.2335 b=4.2335 c=4.4605 alpha=90.00 beta=90.00 gamma=90.00
Last column: nearest neighbours and their distance in Å.
Positions (direct):
1 Tl 0.0000 0.0000 0.0000  4 Tc 2.99, 8 Cd 3.07
2 Cd 0.0000 0.5000 0.5000  4 Cd 2.99, 4 Tc 3.07, 4 Tl 3.07
3 Cd 0.5000 0.0000 0.5000  4 Cd 2.99, 4 Tc 3.07, 4 Tl 3.07
4 Tc 0.5000 0.5000 0.0000  4 Tl 2.99, 8 Cd 3.07

***

Density functional theory data (PBE-GGA) for a relaxed TlCd2Tc crystal.

Calculated values
- Energy of formation from the pure elements: 45 kJ per mole of atoms
- ρ: 10.853 g/cm3
- E_tot: -3.1775 eV per atom
- Excess energy over the best structure of this formula in the dataset: 0.315 eV per formula unit
- Spin magnetization: 1.26 μB per cell
- DOS at the Fermi energy: 2.8 states/eV/cell

Unit cell a=5.6299 b=5.6299 c=5.6299 alpha=137.45 beta=137.45 gamma=61.75
Last column: nearest neighbours and their distance in Å.
Positions (direct):
1 Tl 0.0000 0.0000 0.0000  4 Tc 2.89, 8 Cd 3.16
2 Cd 0.2500 0.7500 0.5000  4 Cd 2.89, 4 Tl 3.16, 4 Tc 3.16
3 Cd 0.7500 0.2500 0.5000  4 Cd 2.89, 4 Tl 3.16, 4 Tc 3.16
4 Tc 0.5000 0.5000 0.0000  4 Tl 2.89, 8 Cd 3.16

***

Density functional theory data (PBE-GGA) for a relaxed TlCd2Tc crystal.

Calculated values
- Energy of formation from the pure elements: 45 kJ per mole of atoms
- ρ: 10.349 g/cm3
- E_tot: -3.1793 eV per atom
- Excess energy over the best structure of this formula in the dataset: 0.308 eV per formula unit
- Spin magnetization: 0.99 μB per cell
- DOS at the Fermi energy: 2.6 states/eV/cell

Unit cell a=10.0924 b=10.0924 c=10.0924 alpha=17.88 beta=17.88 gamma=17.88
Last column: nearest neighbours and their distance in Å.
Positions (direct):
1 Tl 0.0000 0.0000 0.0000  6 Tl 3.14, 6 Cd 3.28
2 Cd 0.2415 0.2415 0.2415  3 Tc 2.87, 6 Cd 3.14
3 Cd 0.7585 0.7585 0.7585  3 Tc 2.87, 6 Cd 3.14
4 Tc 0.5000 0.5000 0.5000  6 Cd 2.87, 6 Tc 3.14